Entry 1:
An optimized crystal structure of HoCo2B, computed with PBE-GGA.

Cell lengths 3.725, 5.123, 5.832 Å; angles 90.00, 90.00, 90.00 degrees
Site moments in Bohr magnetons follow the coordinates.
Sites, in units of the cell vectors:
B 0.500 0.589 0.312  -0.01
B 0.000 0.411 0.812  -0.01
Co 0.000 0.659 0.130  0.82
Co 0.000 0.405 0.435  0.76
Co 0.500 0.341 0.630  0.85
Co 0.500 0.595 0.935  0.75
Ho 0.500 0.108 0.123  -0.12
Ho 0.000 0.892 0.623  -0.12

Output
The crystal system is orthorhombic. For the energy, the calculation gives -52.6 eV/cell.



Entry 2:
An optimized crystal structure of Zn2Si2O5, computed with PBE-GGA.

Cell lengths 8.172, 3.426, 3.426 Å; angles 90.00, 90.00, 90.00 degrees
Sites, in units of the cell vectors:
O 0.137 0.500 0.000
O 0.863 0.500 0.000
O 0.137 0.000 0.500
O 0.863 0.000 0.500
O 0.500 0.500 0.500
Si 0.000 0.000 0.000
Si 0.500 0.000 0.000
Zn 0.253 0.500 0.500
Zn 0.747 0.500 0.500

Output
Its distance to the lowest polymorph of the same formula is 6.08 eV/f.u. The crystal system is tetragonal.



Entry 3:
An optimized crystal structure of Li7AuO6, computed with PBE-GGA.

Cell lengths 5.541, 5.541, 5.771 Å; angles 61.31, 118.69, 120.00 degrees
Sites, in units of the cell vectors:
Au 0.000 0.000 0.999
Li 0.344 0.655 0.033
Li 0.769 0.495 0.332
Li 0.505 0.943 0.332
Li 0.057 0.231 0.332
Li 0.878 0.727 0.664
Li 0.273 0.487 0.664
Li 0.513 0.122 0.664
O 0.758 0.879 0.245
O 0.121 0.635 0.245
O 0.365 0.242 0.245
O 0.922 0.382 0.745
O 0.618 0.794 0.745
O 0.206 0.078 0.745

Output
The crystal system is trigonal. For the energy, the calculation gives -66.1 eV/cell.



Entry 4:
An optimized crystal structure of TePdNO, computed with PBE-GGA.

Cell lengths 4.799, 4.799, 4.535 Å; angles 90.00, 90.00, 89.99 degrees
Sites, in units of the cell vectors:
N 0.750 0.750 0.440
N 0.250 0.250 0.560
O 0.750 0.250 0.000
O 0.250 0.750 0.000
Pd 0.250 0.250 0.050
Pd 0.750 0.750 0.950
Te 0.750 0.250 0.500
Te 0.250 0.750 0.500

Output
Its distance to the lowest polymorph of the same formula is 1.39 eV/f.u. The crystal system is tetragonal.



Entry 5:
An optimized crystal structure of ZrTlCdCo, computed with PBE-GGA.

Cell lengths 4.731, 4.731, 4.731 Å; angles 60.00, 60.00, 60.00 degrees
Site moments in Bohr magnetons follow the coordinates.
Sites, in units of the cell vectors:
Cd 0.250 0.250 0.250  0.00
Co 0.750 0.750 0.750  0.10
Tl 0.000 0.000 0.000  0.00
Zr 0.500 0.500 0.500  -0.04

Output
Its distance to the lowest polymorph of the same formula is 0.00 eV/f.u. The crystal system is cubic.



Entry 6:
An optimized crystal structure of CdReO3, computed with PBE-GGA.

Cell lengths 5.445, 5.445, 5.872 Å; angles 62.38, 62.38, 60.00 degrees
Site moments in Bohr magnetons follow the coordinates.
Sites, in units of the cell vectors:
Cd 0.633 0.633 0.101  0.07
Cd 0.367 0.367 0.899  0.07
O 0.559 0.208 0.276  0.10
O 0.208 0.957 0.276  0.10
O 0.957 0.559 0.276  0.10
O 0.043 0.441 0.724  0.10
O 0.792 0.043 0.724  0.10
O 0.441 0.792 0.724  0.10
Re 0.842 0.842 0.475  2.41
Re 0.158 0.158 0.525  2.41

Output
The crystal system is trigonal. For the energy, the calculation gives -66.8 eV/cell.



Entry 7:
An optimized crystal structure of ErPIrO, computed with PBE-GGA.

Cell lengths 5.539, 5.539, 4.433 Å; angles 90.00, 90.00, 90.00 degrees
Sites, in units of the cell vectors:
Er 0.750 0.250 0.500
Er 0.250 0.750 0.500
Ir 0.250 0.250 0.011
Ir 0.750 0.750 0.989
O 0.750 0.250 0.000
O 0.250 0.750 0.000
P 0.750 0.750 0.489
P 0.250 0.250 0.511

Output
Its distance to the lowest polymorph of the same formula is 4.71 eV/f.u. The crystal system is tetragonal.



Entry 8:
An optimized crystal structure of NaAgB, computed with PBE-GGA.

Cell lengths 4.144, 4.144, 4.144 Å; angles 60.00, 60.00, 60.00 degrees
Sites, in units of the cell vectors:
Ag 0.250 0.250 0.250
B 0.000 0.000 0.000
Na 0.750 0.750 0.750

Output
The crystal system is cubic. For the energy, the calculation gives -7.9 eV/cell.



Entry 9:
An optimized crystal structure of GaCoNiIr, computed with PBE-GGA.

Cell lengths 4.160, 4.160, 4.160 Å; angles 60.00, 60.00, 60.00 degrees
Sites, in units of the cell vectors:
Co 0.750 0.750 0.750
Ga 0.000 0.000 0.000
Ir 0.500 0.500 0.500
Ni 0.250 0.250 0.250

Output
Its distance to the lowest polymorph of the same formula is 0.36 eV/f.u. The crystal system is cubic.



Entry 10:
An optimized crystal structure of TlAsPdO, computed with PBE-GGA.

Cell lengths 4.361, 4.361, 8.161 Å; angles 90.00, 90.00, 90.00 degrees
Sites, in units of the cell vectors:
As 0.750 0.750 0.266
As 0.250 0.250 0.734
O 0.750 0.250 0.000
O 0.250 0.750 0.000
Pd 0.250 0.250 0.040
Pd 0.750 0.750 0.960
Tl 0.750 0.250 0.500
Tl 0.250 0.750 0.500

Output
Its distance to the lowest polymorph of the same formula is 1.97 eV/f.u. The crystal system is tetragonal.



Entry 11:
An optimized crystal structure of Zr2FePd, computed with PBE-GGA.

Cell lengths 4.563, 4.563, 4.563 Å; angles 60.00, 60.00, 60.00 degrees
Site moments in Bohr magnetons follow the coordinates.
Sites, in units of the cell vectors:
Fe 0.500 0.500 0.500  2.36
Pd 0.250 0.250 0.250  0.06
Zr 0.000 0.000 0.000  -0.15
Zr 0.750 0.750 0.750  -0.47

Output
As for the formation energy: -124 meV per atom. The crystal system is cubic.



Entry 12:
An optimized crystal structure of Tl2TcF6, computed with PBE-GGA.

Cell lengths 5.838, 5.838, 5.838 Å; angles 60.00, 60.00, 60.00 degrees
Site moments in Bohr magnetons follow the coordinates.
Sites, in units of the cell vectors:
F 0.763 0.237 0.237  0.07
F 0.237 0.763 0.237  0.07
F 0.763 0.763 0.237  0.07
F 0.237 0.237 0.763  0.07
F 0.763 0.237 0.763  0.07
F 0.237 0.763 0.763  0.07
Tc 0.000 0.000 0.000  2.38
Tl 0.250 0.250 0.250  0.00
Tl 0.750 0.750 0.750  0.00

Output
Its distance to the lowest polymorph of the same formula is 0.31 eV/f.u. The crystal system is cubic.



Entry 13:
An optimized crystal structure of PaCo2, computed with PBE-GGA.

Cell lengths 4.795, 4.795, 4.716 Å; angles 90.00, 90.00, 90.00 degrees
Sites, in units of the cell vectors:
Co 0.329 0.329 0.000
Co 0.671 0.671 0.000
Co 0.829 0.171 0.500
Co 0.171 0.829 0.500
Pa 0.000 0.000 0.000
Pa 0.500 0.500 0.500

Output
As for the formation energy: 587 meV per atom. The crystal system is tetragonal.



Entry 14:
An optimized crystal structure of MgScPt2, computed with PBE-GGA.

Cell lengths 4.579, 4.579, 4.579 Å; angles 60.00, 60.00, 60.00 degrees
Sites, in units of the cell vectors:
Mg 0.250 0.250 0.250
Pt 0.500 0.500 0.500
Pt 0.750 0.750 0.750
Sc 0.000 0.000 0.000

Output
The crystal system is cubic. For the energy, the calculation gives -22.8 eV/cell.



Entry 15:
An optimized crystal structure of Cu2Ag3, computed with PBE-GGA.

Cell lengths 7.483, 7.483, 7.678 Å; angles 104.82, 104.82, 21.91 degrees
Sites, in units of the cell vectors:
Ag 0.300 0.300 0.154
Ag 0.499 0.499 0.220
Ag 0.899 0.899 0.465
Ag 0.101 0.101 0.535
Ag 0.501 0.501 0.780
Ag 0.700 0.700 0.846
Cu 0.111 0.111 0.067
Cu 0.702 0.702 0.351
Cu 0.298 0.298 0.649
Cu 0.889 0.889 0.933

Output
Its distance to the lowest polymorph of the same formula is 0.27 eV/f.u. As for the formation energy: 86 meV per atom. The crystal system is monoclinic.



Entry 16:
An optimized crystal structure of PrNb2Ir2, computed with PBE-GGA.

Cell lengths 6.158, 6.158, 6.158 Å; angles 137.26, 137.26, 62.04 degrees
Sites, in units of the cell vectors:
Ir 0.374 0.374 0.000
Ir 0.626 0.626 0.000
Nb 0.750 0.250 0.500
Nb 0.250 0.750 0.500
Pr 0.000 0.000 0.000

Output
As for the formation energy: -527 meV per atom. The crystal system is tetragonal.



Entry 17:
An optimized crystal structure of TaTcGe2, computed with PBE-GGA.

Cell lengths 4.527, 4.527, 4.527 Å; angles 60.00, 60.00, 60.00 degrees
Sites, in units of the cell vectors:
Ge 0.500 0.500 0.500
Ge 0.750 0.750 0.750
Ta 0.250 0.250 0.250
Tc 0.000 0.000 0.000

Output
The crystal system is cubic. For the energy, the calculation gives -31.2 eV/cell.



Entry 18:
An optimized crystal structure of TbHo2Cu4Ge4, computed with PBE-GGA.

Cell lengths 7.995, 7.995, 7.995 Å; angles 149.62, 130.78, 58.95 degrees
Sites, in units of the cell vectors:
Cu 0.640 0.331 0.310
Cu 0.979 0.669 0.310
Cu 0.021 0.331 0.690
Cu 0.360 0.669 0.690
Ge 0.217 0.217 0.000
Ge 0.783 0.783 0.000
Ge 0.691 0.500 0.191
Ge 0.309 0.500 0.809
Ho 0.630 0.130 0.500
Ho 0.370 0.870 0.500
Tb 0.000 0.000 0.000

Output
The crystal system is orthorhombic. For the energy, the calculation gives -54.1 eV/cell.



Entry 19:
An optimized crystal structure of HfSb2Au, computed with PBE-GGA.

Cell lengths 5.058, 5.058, 5.058 Å; angles 60.00, 60.00, 60.00 degrees
Sites, in units of the cell vectors:
Au 0.500 0.500 0.500
Hf 0.750 0.750 0.750
Sb 0.000 0.000 0.000
Sb 0.250 0.250 0.250

Output
The crystal system is cubic. For the energy, the calculation gives -21.1 eV/cell.



Entry 20:
An optimized crystal structure of CsSmU, computed with PBE-GGA.

Cell lengths 6.051, 6.051, 10.152 Å; angles 90.00, 90.00, 120.00 degrees
Site moments in Bohr magnetons follow the coordinates.
Sites, in units of the cell vectors:
Cs 0.667 0.333 0.157  0.04
Cs 0.333 0.667 0.498  0.00
Cs 0.667 0.333 0.828  0.04
Sm 0.333 0.667 0.173  0.17
Sm 0.667 0.333 0.489  0.03
Sm 0.333 0.667 0.829  0.22
U 0.000 0.000 0.015  3.18
U 0.000 0.000 0.361  2.41
U 0.000 0.000 0.608  2.40

Output
Its distance to the lowest polymorph of the same formula is 0.00 eV/f.u. The crystal system is trigonal.



Entry 21:
An optimized crystal structure of HfInB4, computed with PBE-GGA.

Cell lengths 3.144, 3.144, 8.084 Å; angles 90.00, 90.00, 120.00 degrees
Sites, in units of the cell vectors:
B 0.667 0.333 0.291
B 0.333 0.667 0.291
B 0.667 0.333 0.709
B 0.333 0.667 0.709
Hf 0.000 0.000 0.500
In 0.000 0.000 0.000

Output
The crystal system is hexagonal. For the energy, the calculation gives -40.4 eV/cell.



Entry 22:
An optimized crystal structure of NpSe2Cl2, computed with PBE-GGA.

Cell lengths 6.891, 7.222, 7.615 Å; angles 92.98, 111.40, 118.43 degrees
Site moments in Bohr magnetons follow the coordinates.
Sites, in units of the cell vectors:
Cl 0.648 0.482 0.229  -0.05
Cl 0.235 0.658 0.231  -0.05
Cl 0.765 0.342 0.769  -0.05
Cl 0.352 0.518 0.771  -0.05
Np 0.153 0.305 0.000  3.36
Np 0.847 0.695 0.000  3.36
Se 0.792 0.043 0.138  -0.12
Se 0.179 0.099 0.321  -0.12
Se 0.821 0.901 0.679  -0.12
Se 0.208 0.957 0.862  -0.12

Output
The crystal system is triclinic. For the energy, the calculation gives -58.9 eV/cell.



Entry 23:
An optimized crystal structure of CdAgHg2, computed with PBE-GGA.

Cell lengths 4.990, 4.990, 4.990 Å; angles 60.00, 60.00, 60.00 degrees
Sites, in units of the cell vectors:
Ag 0.750 0.750 0.750
Cd 0.500 0.500 0.500
Hg 0.000 0.000 0.000
Hg 0.250 0.250 0.250

Output
As for the formation energy: 85 meV per atom. The crystal system is cubic.



Entry 24:
An optimized crystal structure of KPt, computed with PBE-GGA.

Cell lengths 5.904, 9.970, 9.820 Å; angles 90.00, 90.00, 90.00 degrees
Site moments in Bohr magnetons follow the coordinates.
Sites, in units of the cell vectors:
K 0.000 0.186 0.077  0.00
K 0.000 0.814 0.077  0.00
K 0.500 0.200 0.312  0.00
K 0.500 0.800 0.312  0.00
K 0.000 0.000 0.484  0.00
K 0.500 0.500 0.516  0.00
K 0.000 0.300 0.688  0.00
K 0.000 0.700 0.688  0.00
K 0.500 0.314 0.923  0.00
K 0.500 0.686 0.923  0.00
Pt 0.500 0.000 0.003  0.20
Pt 0.287 0.500 0.196  0.29
Pt 0.713 0.500 0.196  0.29
Pt 0.000 0.362 0.353  0.14
Pt 0.000 0.638 0.353  0.14
Pt 0.500 0.138 0.647  0.14
Pt 0.500 0.862 0.647  0.14
Pt 0.213 0.000 0.804  0.29
Pt 0.787 0.000 0.804  0.29
Pt 0.000 0.500 0.997  0.21

Output
The crystal system is orthorhombic. For the energy, the calculation gives -70.1 eV/cell.



Entry 25:
An optimized crystal structure of BeTc2Ir, computed with PBE-GGA.

Cell lengths 4.232, 4.232, 4.232 Å; angles 60.00, 60.00, 60.00 degrees
Sites, in units of the cell vectors:
Be 0.500 0.500 0.500
Ir 0.250 0.250 0.250
Tc 0.000 0.000 0.000
Tc 0.750 0.750 0.750

Output
The crystal system is cubic. For the energy, the calculation gives -33.3 eV/cell.